(1)
{"formula": "TaOsPd", "functional": "PBE", "state": "relaxed", "lattice_angstrom": [[1.9587, -0.4988, 3.8117], [-2.3256, -0.0220, 3.6339], [-0.5001, -3.6661, 2.2189]], "species": ["Os", "Pd", "Ta"], "frac_coords": [[0.0000, 0.0000, 0.0000], [0.2500, 0.2500, 0.2500], [0.7500, 0.7500, 0.7500]], "total_magnetization_mub_per_cell": 0.02, "e_above_lowest_polymorph_mev_per_atom": 147, "ef_ev_per_fu": 1.29}



(2)
{"formula": "Cu12Sb4S13", "functional": "PBE", "state": "relaxed", "lattice_angstrom": [[-5.1731, -5.1731, 5.1731], [-5.1731, 5.1731, -5.1731], [5.1731, -5.1731, -5.1731]], "species": ["Cu", "Cu", "Cu", "Cu", "Cu", "Cu", "Cu", "Cu", "Cu", "Cu", "Cu", "Cu", "S", "S", "S", "S", "S", "S", "S", "S", "S", "S", "S", "S", "S", "Sb", "Sb", "Sb", "Sb"], "frac_coords": [[0.2224, 0.2224, 0.0000], [0.7776, 0.7776, 0.0000], [0.2224, 0.0000, 0.2224], [0.0000, 0.2224, 0.2224], [0.7500, 0.5000, 0.2500], [0.5000, 0.7500, 0.2500], [0.7500, 0.2500, 0.5000], [0.2500, 0.7500, 0.5000], [0.5000, 0.2500, 0.7500], [0.2500, 0.5000, 0.7500], [0.7776, 0.0000, 0.7776], [0.0000, 0.7776, 0.7776], [0.0000, 0.0000, 0.0000], [0.4818, 0.2488, 0.0000], [0.2488, 0.4818, 0.0000], [0.7512, 0.7512, 0.2330], [0.4818, 0.0000, 0.2488], [0.0000, 0.4818, 0.2488], [0.2488, 0.0000, 0.4818], [0.0000, 0.2488, 0.4818], [0.7670, 0.5182, 0.5182], [0.5182, 0.7670, 0.5182], [0.7512, 0.2330, 0.7512], [0.2330, 0.7512, 0.7512], [0.5182, 0.5182, 0.7670], [0.5455, 0.0000, 0.0000], [0.0000, 0.5455, 0.0000], [0.4545, 0.4545, 0.4545], [0.0000, 0.0000, 0.5455]], "final_energy_ev_per_atom": -4.185}



(3)
{"formula": "Li2Pr2Cu15", "functional": "PBE", "state": "relaxed", "lattice_angstrom": [[4.3147, 2.4911, 4.2103], [-4.3147, 2.4911, 4.2103], [0.0000, -4.9822, 4.2103]], "species": ["Cu", "Cu", "Cu", "Cu", "Cu", "Cu", "Cu", "Cu", "Cu", "Cu", "Cu", "Cu", "Cu", "Cu", "Cu", "Li", "Li", "Pr", "Pr"], "frac_coords": [[0.5000, 0.0000, 0.0000], [0.7014, 0.2986, 0.0000], [0.0000, 0.5000, 0.0000], [0.2986, 0.7014, 0.0000], [0.6579, 0.6579, 0.1569], [0.7014, 0.0000, 0.2986], [0.0000, 0.7014, 0.2986], [0.8431, 0.3421, 0.3421], [0.3421, 0.8431, 0.3421], [0.0000, 0.0000, 0.5000], [0.6579, 0.1569, 0.6579], [0.1569, 0.6579, 0.6579], [0.2986, 0.0000, 0.7014], [0.0000, 0.2986, 0.7014], [0.3421, 0.3421, 0.8431], [0.0928, 0.0928, 0.0928], [0.9072, 0.9072, 0.9072], [0.3450, 0.3450, 0.3450], [0.6550, 0.6550, 0.6550]], "total_magnetization_mub_per_cell": 0.09, "final_energy_ev_per_atom": -3.756}



(4)
{"formula": "AcPuGa", "functional": "PBE", "state": "relaxed", "lattice_angstrom": [[3.0127, -3.0373, 2.8433], [1.0971, 1.2855, 4.8507], [-2.0051, -2.6936, 3.8871]], "species": ["Ac", "Ga", "Pu"], "frac_coords": [[0.0000, 0.0000, 0.0000], [0.2500, 0.2500, 0.2500], [0.7500, 0.7500, 0.7500]], "total_magnetization_mub_per_cell": 6.00, "e_above_lowest_polymorph_mev_per_atom": 386}



(5)
{"formula": "LiSc2Os", "functional": "PBE", "state": "relaxed", "lattice_angstrom": [[2.0917, -3.6229, 0.0000], [2.0917, 3.6229, 0.0000], [0.0000, 0.0000, 11.6186]], "species": ["Li", "Li", "Os", "Os", "Sc", "Sc", "Sc", "Sc"], "frac_coords": [[0.3333, 0.6667, 0.2500], [0.6667, 0.3333, 0.7500], [0.0000, 0.0000, 0.0000], [0.0000, 0.0000, 0.5000], [0.6667, 0.3333, 0.0898], [0.6667, 0.3333, 0.4102], [0.3333, 0.6667, 0.5898], [0.3333, 0.6667, 0.9102]], "total_magnetization_mub_per_cell": 0.04, "e_above_lowest_polymorph_mev_per_atom": 441}



(6)
{"formula": "NaNdTh", "functional": "PBE", "state": "relaxed", "lattice_angstrom": [[-2.5191, -0.3003, 4.6377], [-0.0789, 4.1760, 3.2402], [-4.4937, 2.6824, 0.7455]], "species": ["Na", "Nd", "Th"], "frac_coords": [[0.2500, 0.2500, 0.2500], [0.0000, 0.0000, 0.0000], [0.7500, 0.7500, 0.7500]], "total_magnetization_mub_per_cell": 0.00, "final_energy_ev_per_atom": -3.436}



Repeat the sixth record exactly.
{"formula": "NaNdTh", "functional": "PBE", "state": "relaxed", "lattice_angstrom": [[-2.5191, -0.3003, 4.6377], [-0.0789, 4.1760, 3.2402], [-4.4937, 2.6824, 0.7455]], "species": ["Na", "Nd", "Th"], "frac_coords": [[0.2500, 0.2500, 0.2500], [0.0000, 0.0000, 0.0000], [0.7500, 0.7500, 0.7500]], "total_magnetization_mub_per_cell": 0.00, "final_energy_ev_per_atom": -3.436}